## Tb2Dy2Hg (GGA-PBE)

Data for a relaxed Tb2Dy2Hg crystal.

Values from the calculation:
The total energy is -3.791 eV per atom. The energy of formation from the pure elements comes out at -0.0373 eV/atom. Its space group is No. 141.

POSCAR file:
```
Tb2Dy2Hg
1.0
-2.5212 2.5212 12.5519
2.5212 -2.5212 12.5519
2.5212 2.5212 -12.5519
Tb Dy Hg
4 4 2
direct
0.0521 0.3021 0.7500 Tb
0.3021 0.0521 0.2500 Tb
0.6979 0.9479 0.7500 Tb
0.9479 0.6979 0.2500 Tb
0.2012 0.4512 0.7500 Dy
0.4512 0.2012 0.2500 Dy
0.5488 0.7988 0.7500 Dy
0.7988 0.5488 0.2500 Dy
0.3750 0.6250 0.7500 Hg
0.6250 0.3750 0.2500 Hg
```